This record from Alexandria via LeMat-Bulk describes a relaxed structure of La3Si. The functional is PBE.

abc: 4.1931 4.1931 9.2718
angles: 90.00 90.00 120.00
Closest atoms and distances in Å follow each position.
Space group P-6m2 (No. 187)
One atom of each set of equivalent atoms:
1 La 0.0000 0.0000 0.0000 x1  12 La 3.78-4.19
2 La 0.3333 0.6667 0.3126 x2  3 Si 2.98
3 Si 0.0000 0.0000 0.5000 x1  6 La 2.98

This record from Alexandria via LeMat-Bulk describes a relaxed structure of LaSi5. The functional is PBE.

abc: 3.6419 3.6419 8.3342
angles: 90.00 90.00 90.00
Closest atoms and distances in Å follow each position.
Space group P4/mmm (No. 123)
One atom of each set of equivalent atoms:
1 La 0.0000 0.0000 0.0000 x1  10 Si 2.97-3.18
2 Si 0.0000 0.0000 0.3567 x2  1 Si 2.39
3 Si 0.5000 0.5000 0.2245 x2  1 Si 2.30
4 Si 0.5000 0.5000 0.5000 x1  2 Si 2.30

This record from Alexandria via LeMat-Bulk describes a relaxed structure of La3Si. The functional is PBE.

abc: 6.8997 6.8997 11.0637
angles: 90.00 90.00 120.00
Closest atoms and distances in Å follow each position.
Space group P6_3/mmc (No. 194)
One atom of each set of equivalent atoms:
1 La 0.0000 0.5000 0.0000 x6  4 Si 3.41-3.45, 8 La 3.45
2 La 0.1545 0.3090 0.2500 x6  6 La 3.20-3.45, 4 Si 3.33-3.45
3 Si 0.0000 0.0000 0.0000 x2  12 La 3.33-3.45
4 Si 0.3333 0.6667 0.7500 x2  12 La 3.41-3.45

| no. | formation energy without anion corrections (eV per atom) | magnetization (μB per formula unit) |
| --- | --- | --- |
| 1 | -0.134 | 0.00 |
| 2 | 0.103 | 0.00 |
| 3 | -0.282 | 0.00 |